Mn2CuSe | PBE | relaxed

The calculation puts the density of states at the Fermi level at 2.7 states/eV/f.u. The value obtained for the uncorrected formation energy is 0.137 eV per atom. The total energy is -6.34 eV per atom. For the mass density, the calculation gives 6.579 g/cm³.

It has space group I4mm (No. 107), with a = 3.1447 Å, b = 3.1447 Å, c = 12.8821 Å, α = 90.00°, β = 90.00° and γ = 90.00°. The inequivalent atoms are Mn at (0.0000, 0.0000, 0.0000), Mn at (0.0000, 0.0000, 0.3792), Cu at (0.0000, 0.0000, 0.7812) and Se at (0.0000, 0.0000, 0.5902).

Mn2CuSe | PBE | relaxed

The calculation puts the density of states at the Fermi level at 3.3 states/eV/f.u. The value obtained for the uncorrected formation energy is 0.197 eV per atom. The total energy is -6.28 eV per atom. For the mass density, the calculation gives 7.230 g/cm³.

It has space group I4/mmm (No. 139), with a = 3.9161 Å, b = 3.9161 Å, c = 7.5595 Å, α = 90.00°, β = 90.00° and γ = 90.00°. The inequivalent atoms are Mn at (0.0000, 0.5000, 0.2500), Cu at (0.0000, 0.0000, 0.0000) and Se at (0.0000, 0.0000, 0.5000).

MnCu4Se5 | PBE | relaxed

The calculation puts the density of states at the Fermi level at 3.7 states/eV/f.u. The value obtained for the uncorrected formation energy is -0.134 eV per atom. The total energy is -4.43 eV per atom. For the mass density, the calculation gives 6.118 g/cm³.

It has space group I4 (No. 79), with a = 7.6921 Å, b = 7.6921 Å, c = 6.4586 Å, α = 90.00°, β = 90.00° and γ = 90.00°. The inequivalent atoms are Mn at (0.0000, 0.0000, 0.0000), Cu at (0.1235, 0.2861, 0.7423), Se at (0.0000, 0.0000, 0.6236) and Se at (0.0815, 0.2972, 0.1124).

Mn2CuSe | PBE | relaxed

The calculation puts the density of states at the Fermi level at 2.9 states/eV/f.u. The value obtained for the uncorrected formation energy is 0.269 eV per atom. The total energy is -6.21 eV per atom. For the mass density, the calculation gives 6.967 g/cm³.

It has space group R3m (No. 160, hexagonal axes), with a = 2.9409 Å, b = 2.9409 Å, c = 24.0941 Å, α = 90.00°, β = 90.00° and γ = 120.00°. The inequivalent atoms are Mn at (0.0000, 0.0000, 0.0000), Mn at (0.0000, 0.0000, 0.2501), Cu at (0.0000, 0.0000, 0.5028) and Se at (0.0000, 0.0000, 0.7354).